This record from Alexandria describes an optimized crystal structure of MnSi2W2. The functional is PBE.

Geometry as POSCAR:
```
MnSi2W2
1.0
5.856 0.000 0.000
0.000 5.856 0.000
0.000 0.000 3.969
Si W Mn
4 4 2
Cartesian
3.763 0.835 0.000
5.021 3.763 0.000
0.835 2.093 0.000
2.093 5.021 0.000
0.971 3.899 1.984
1.957 0.971 1.984
4.885 1.957 1.984
3.899 4.885 1.984
2.928 2.928 0.000
0.000 0.000 0.000
```

Values from the calculation:
DOS at the Fermi energy: 8.17 states/eV/cell
energy relative to the elements, uncorrected: -0.1167 eV/atom

=====

This record from Alexandria describes an optimized crystal structure of MnSiW4. The functional is PBE.

Geometry as POSCAR:
```
MnSiW4
1.0
1.596 3.305 3.732
-1.786 -0.518 4.893
3.198 -1.678 3.790
W Mn Si
4 1 1
Cartesian
1.128 0.416 4.655
1.926 2.069 6.522
2.727 -0.424 6.551
0.234 0.157 7.103
2.256 0.832 9.311
0.000 0.000 0.000
```

Values from the calculation:
DOS at the Fermi energy: 5.24 states/eV/cell
energy relative to the elements, uncorrected: 0.7213 eV/atom

=====

This record from Alexandria describes an optimized crystal structure of MnSi2W. The functional is PBE.

Geometry as POSCAR:
```
MnSi2W
1.0
-1.722 -5.339 -5.697
-0.916 -7.076 -3.607
-3.581 -6.115 -3.703
W Mn Si
1 1 2
Cartesian
-3.096 -9.223 -6.474
-4.637 -13.816 -9.698
-1.566 -4.667 -3.276
-0.030 -0.089 -0.063
```

Values from the calculation:
DOS at the Fermi energy: 2.41 states/eV/cell
energy relative to the elements, uncorrected: 0.0632 eV/atom

=====

This record from Alexandria describes an optimized crystal structure of Mn3SiW2. The functional is PBE.

Geometry as POSCAR:
```
Mn3SiW2
1.0
-0.156 1.673 4.475
-3.904 -1.936 -1.966
2.099 -6.943 2.669
Mn Si W
6 2 4
Cartesian
-2.813 -2.240 1.980
-0.840 -2.113 0.760
0.775 -4.153 5.373
-1.121 -5.093 4.418
0.851 -4.966 3.199
-2.737 -3.053 -0.195
1.049 -3.472 1.334
0.000 0.000 0.000
-1.472 -4.646 1.685
-0.689 -7.235 2.680
-0.490 -2.560 3.493
-1.272 0.029 2.498
```

Values from the calculation:
DOS at the Fermi energy: 13.43 states/eV/cell
energy relative to the elements, uncorrected: -0.2312 eV/atom

=====

- What is the formula in the second record?
  MnSiW4